Computed, not measured: NbInCoIr after structural relaxation at the PBE level of DFT.

Results
Space-group type = F-43m
Offset from the most stable computed form = 0.363 eV per atom
Total DFT energy (no corrections) = -28.1 eV for the cell shown

```
data_NbInCoIr
_cell_length_a 4.479
_cell_length_b 4.479
_cell_length_c 4.479
_cell_angle_alpha 60.00
_cell_angle_beta 60.00
_cell_angle_gamma 60.00
_space_group_name_H-M_alt 'P 1'
_space_group_IT_number 1
_space_group_name_Hall 'P 1'
loop_
_atom_site_label
_atom_site_fract_x
_atom_site_fract_y
_atom_site_fract_z
Nb1 0.000 0.000 0.000
In1 0.250 0.250 0.250
Co1 0.500 0.500 0.500
Ir1 0.750 0.750 0.750
```